A PBEsol-optimized structure of CrCo2. Source: the Alexandria database, functional SCAN.

Properties
density of states at the Fermi level = 1.2587 states/eV per atom
formation energy from the elements = 0.27 eV per atom
total magnetization = 0.0010 μB per atom

Cell: 4.874 3.440 7.315 Å, 90.00 90.00 90.00°
Fractional coordinates of all 12 atoms:
Cr: 0.137 0.250 0.087
Cr: 0.363 0.750 0.587
Cr: 0.637 0.250 0.413
Cr: 0.863 0.750 0.913
Co: 0.124 0.250 0.753
Co: 0.128 0.250 0.416
Co: 0.372 0.750 0.916
Co: 0.376 0.750 0.253
Co: 0.624 0.250 0.747
Co: 0.628 0.250 0.084
Co: 0.872 0.750 0.584
Co: 0.876 0.750 0.247